[1]
# Sr2MgBi3

Crystalline Sr2MgBi3 at its relaxed geometry (PBE, the Alexandria database).

Cell and atoms, written as POSCAR:
```
Sr2MgBi3
1.0
8.307 0.000 0.000
0.000 4.914 0.000
0.000 0.000 20.273
Sr Mg Bi
8 4 12
direct
0.132 0.250 0.083
0.134 0.250 0.291
0.366 0.750 0.791
0.368 0.750 0.583
0.632 0.250 0.417
0.634 0.250 0.209
0.866 0.750 0.709
0.868 0.750 0.917
0.061 0.750 0.441
0.439 0.250 0.941
0.561 0.750 0.059
0.939 0.250 0.559
0.087 0.250 0.827
0.160 0.250 0.678
0.240 0.250 0.474
0.260 0.750 0.974
0.340 0.750 0.178
0.413 0.750 0.327
0.587 0.250 0.673
0.660 0.250 0.822
0.740 0.250 0.026
0.760 0.750 0.526
0.840 0.750 0.322
0.913 0.750 0.173
```

Values from the calculation:
Magnetization   0.000 Bohr magnetons per cell
Energy of formation   -0.63 eV per atom

---

[2]
# SrMgBi2

Crystalline SrMgBi2 at its relaxed geometry (PBE, the Alexandria database).

Cell and atoms, written as POSCAR:
```
SrMgBi2
1.0
5.147 0.000 0.000
0.000 5.147 0.000
0.000 0.000 4.655
Sr Mg Bi
1 1 2
direct
0.000 0.000 0.000
0.500 0.500 0.000
0.000 0.500 0.500
0.500 0.000 0.500
```

Values from the calculation:
Magnetization   0.000 Bohr magnetons per cell
Energy of formation   -0.45 eV per atom

---

[3]
# Sr5MgBi4

Crystalline Sr5MgBi4 at its relaxed geometry (PBE, the Alexandria database).

Cell and atoms, written as POSCAR:
```
Sr5MgBi4
1.0
-2.553 5.596 6.563
2.553 -5.596 6.563
2.553 5.596 -6.563
Sr Mg Bi
5 1 4
direct
0.000 0.000 0.000
0.159 0.841 0.318
0.477 0.159 0.318
0.523 0.841 0.682
0.841 0.159 0.682
0.500 0.500 0.000
0.222 0.500 0.722
0.264 0.264 0.000
0.736 0.736 0.000
0.778 0.500 0.278
```

Values from the calculation:
Magnetization   0.359 Bohr magnetons per cell
Energy of formation   -0.72 eV per atom
E above lowest polymorph   0 meV/atom